(1)
The following is a DFT calculation (PBE) of a relaxed structure of Ho6Ni2Pt.

Results
The value obtained for the formation energy is -0.436 eV/atom. For the volume, the calculation gives 25.466 Å³ per atom. For the relative energy among the computed polymorphs, the calculation gives 0.079 eV per atom. As for the space group: P2_1/c.

a = 6.439 Å, b = 7.034 Å, c = 11.700 Å
α = 90.00°, β = 120.11°, γ = 90.00°
Positions (direct):
Ho: 0.078 0.185 0.424
Ho: 0.078 0.315 0.924
Ho: 0.235 0.668 0.418
Ho: 0.235 0.832 0.918
Ho: 0.409 0.052 0.243
Ho: 0.409 0.448 0.743
Ho: 0.591 0.552 0.257
Ho: 0.591 0.948 0.757
Ho: 0.765 0.168 0.082
Ho: 0.765 0.332 0.582
Ho: 0.922 0.685 0.076
Ho: 0.922 0.815 0.576
Ni: 0.175 0.115 0.733
Ni: 0.175 0.385 0.233
Ni: 0.825 0.615 0.767
Ni: 0.825 0.885 0.267
Pt: 0.500 0.000 0.500
Pt: 0.500 0.500 0.000


(2)
The following is a DFT calculation (PBE) of a relaxed structure of HoNi2Pt2.

Results
The value obtained for the formation energy is -0.501 eV/atom. For the volume, the calculation gives 16.857 Å³ per atom. As for the space group: I4/mmm.

a = 11.497 Å, b = 11.497 Å, c = 11.497 Å
α = 160.54°, β = 160.54°, γ = 27.65°
Positions (direct):
Ho: 0.119 0.119 0.000
Ho: 0.881 0.881 0.000
Ni: 0.250 0.750 0.500
Ni: 0.427 0.427 0.000
Ni: 0.573 0.573 0.000
Ni: 0.750 0.250 0.500
Pt: 0.000 0.500 0.500
Pt: 0.322 0.322 0.000
Pt: 0.500 0.000 0.500
Pt: 0.678 0.678 0.000


(3)
The following is a DFT calculation (PBE) of a relaxed structure of Ho2NiPt.

Results
The value obtained for the formation energy is -0.894 eV/atom. For the volume, the calculation gives 21.005 Å³ per atom. As for the space group: P2_1/m.

a = 5.501 Å, b = 4.300 Å, c = 7.569 Å
α = 90.00°, β = 110.19°, γ = 90.00°
Positions (direct):
Ho: 0.218 0.250 0.430
Ho: 0.221 0.250 0.930
Ho: 0.779 0.750 0.070
Ho: 0.782 0.750 0.570
Ni: 0.340 0.750 0.708
Ni: 0.660 0.250 0.292
Pt: 0.344 0.750 0.212
Pt: 0.656 0.250 0.788


(4)
The following is a DFT calculation (PBE) of a relaxed structure of HoNi6Pt6.

Results
The value obtained for the formation energy is -0.327 eV/atom. For the volume, the calculation gives 14.333 Å³ per atom. As for the space group: Immm.

a = 6.614 Å, b = 6.614 Å, c = 6.614 Å
α = 136.00°, β = 99.01°, γ = 97.13°
Positions (direct):
Ho: 0.000 0.000 0.000
Ni: 0.000 0.000 0.500
Ni: 0.000 0.500 0.000
Ni: 0.234 0.734 0.500
Ni: 0.500 0.000 0.000
Ni: 0.500 0.500 0.500
Ni: 0.766 0.266 0.500
Pt: 0.195 0.500 0.695
Pt: 0.342 0.000 0.342
Pt: 0.342 0.342 0.000
Pt: 0.658 0.000 0.658
Pt: 0.658 0.658 0.000
Pt: 0.805 0.500 0.305


(5)
The following is a DFT calculation (PBE) of a relaxed structure of Ho7Ni2Pt2.

Results
The value obtained for the formation energy is -0.464 eV/atom. For the volume, the calculation gives 24.702 Å³ per atom. As for the space group: Cmmm.

a = 6.501 Å, b = 6.501 Å, c = 6.782 Å
α = 90.00°, β = 90.00°, γ = 108.54°
Positions (direct):
Ho: 0.000 0.000 0.000
Ho: 0.000 0.500 0.260
Ho: 0.000 0.500 0.740
Ho: 0.500 0.000 0.260
Ho: 0.500 0.000 0.740
Ho: 0.500 0.500 0.254
Ho: 0.500 0.500 0.746
Ni: 0.289 0.711 0.000
Ni: 0.711 0.289 0.000
Pt: 0.191 0.191 0.500
Pt: 0.809 0.809 0.500


(6)
The following is a DFT calculation (PBE) of a relaxed structure of Ho5Ni2Pt.

Results
The value obtained for the formation energy is -0.578 eV/atom. For the volume, the calculation gives 22.569 Å³ per atom. As for the space group: I4/mcm.

a = 8.444 Å, b = 8.444 Å, c = 8.444 Å
α = 128.23°, β = 128.23°, γ = 76.25°
Positions (direct):
Ho: 0.000 0.000 0.000
Ho: 0.026 0.526 0.835
Ho: 0.191 0.026 0.500
Ho: 0.309 0.809 0.835
Ho: 0.474 0.309 0.500
Ho: 0.500 0.500 0.000
Ho: 0.526 0.691 0.500
Ho: 0.691 0.191 0.165
Ho: 0.809 0.974 0.500
Ho: 0.974 0.474 0.165
Ni: 0.124 0.376 0.500
Ni: 0.376 0.876 0.252
Ni: 0.624 0.124 0.748
Ni: 0.876 0.624 0.500
Pt: 0.250 0.250 0.000
Pt: 0.750 0.750 0.000


(7)
The following is a DFT calculation (PBE) of a relaxed structure of HoNiPt4.

Results
The value obtained for the formation energy is -0.522 eV/atom. For the volume, the calculation gives 17.541 Å³ per atom. As for the space group: F-43m.

a = 5.300 Å, b = 5.300 Å, c = 5.300 Å
α = 60.00°, β = 60.00°, γ = 60.00°
Positions (direct):
Ho: 0.000 0.000 0.000
Ni: 0.250 0.250 0.250
Pt: 0.127 0.624 0.624
Pt: 0.624 0.127 0.624
Pt: 0.624 0.624 0.127
Pt: 0.624 0.624 0.624


(8)
The following is a DFT calculation (PBE) of a relaxed structure of Ho2NiPt.

Results
The value obtained for the formation energy is -0.830 eV/atom. For the volume, the calculation gives 20.164 Å³ per atom. As for the space group: P4/mmm.

a = 4.868 Å, b = 4.868 Å, c = 3.404 Å
α = 90.00°, β = 90.00°, γ = 90.00°
Positions (direct):
Ho: 0.000 0.500 0.000
Ho: 0.500 0.000 0.000
Ni: 0.000 0.000 0.500
Pt: 0.500 0.500 0.500